Record 1
VASP calculation (PBE) on a geometry-optimized PmGd2Hg structure.

Geometry as POSCAR:
```
PmGd2Hg
1.0
3.6541 0.0000 0.0000
0.0000 3.6541 0.0000
0.0000 0.0000 9.0101
Gd Pm Hg
2 1 1
Direct
0.0000 0.0000 0.2195 Gd
0.0000 0.0000 0.7805 Gd
0.5000 0.5000 0.5000 Pm
0.5000 0.5000 0.0000 Hg
```

Offset from the most stable computed form   0 meV/atom
Symmetry   P4/mmm (123)
Calculated total energy   -8.54 eV/atom
Calculated formation energy   -0.238 eV/atom

***

Record 2
VASP calculation (PBE) on a geometry-optimized Pa2Ge3Ir5 structure.

Geometry as POSCAR:
```
Pa2Ge3Ir5
1.0
5.7648 0.0000 0.0000
2.8824 7.8460 -0.8838
2.8824 0.3370 7.8885
Ir Ge Pa
10 6 4
Direct
0.2500 0.5000 0.5000 Ir
0.5222 0.2278 0.2278 Ir
0.8928 0.9309 0.2835 Ir
0.0222 0.2278 0.2278 Ir
0.9778 0.7722 0.7722 Ir
0.1072 0.0691 0.7165 Ir
0.7500 0.5000 0.5000 Ir
0.4778 0.7722 0.7722 Ir
0.6072 0.7165 0.0691 Ir
0.3928 0.2835 0.9309 Ir
0.6367 0.4803 0.2463 Ge
0.3633 0.5197 0.7537 Ge
0.7500 0.0000 0.0000 Ge
0.1367 0.2463 0.4803 Ge
0.8633 0.7537 0.5197 Ge
0.2500 0.0000 0.0000 Ge
0.8710 0.4063 0.8518 Pa
0.6290 0.1482 0.5937 Pa
0.3710 0.8518 0.4063 Pa
0.1290 0.5937 0.1482 Pa
```

Offset from the most stable computed form   0 meV/atom
Symmetry   Ibam (72)
Calculated total energy   -8.36 eV/atom
Calculated formation energy   -0.644 eV/atom